This record from the Alexandria database describes an optimized crystal structure of V2CoH. The functional is PBE-GGA.

Space-group type: P4/mmm
Energy above the lowest structure with this stoichiometry (meV/atom): 211
Theoretical density (g cm⁻³): 6.79

Cell: 2.592 2.592 5.885 Å, 90.00 90.00 90.00°
Fractional positions:
V1 0.000 0.000 0.206
V2 0.000 0.000 0.794
Co1 0.500 0.500 0.500
H1 0.500 0.500 0.000



This record from the Alexandria database describes an optimized crystal structure of V2CoHW. The functional is PBE-GGA.

Space-group type: P4/mmm
Energy above the lowest structure with this stoichiometry (meV/atom): 0
Theoretical density (g cm⁻³): 10.39

Cell: 4.120 4.120 3.255 Å, 90.00 90.00 90.00°
Fractional positions:
V1 0.000 0.500 0.000
V2 0.500 0.000 0.000
Co1 0.000 0.000 0.500
H1 0.000 0.000 0.000
W1 0.500 0.500 0.500



This record from the Alexandria database describes an optimized crystal structure of VCo2HW. The functional is PBE-GGA.

Space-group type: P4/mmm
Energy above the lowest structure with this stoichiometry (meV/atom): 0
Theoretical density (g cm⁻³): 11.47

Cell: 3.651 3.651 3.842 Å, 90.00 90.00 90.00°
Fractional positions:
V1 0.000 0.000 0.000
Co1 0.000 0.500 0.500
Co2 0.500 0.000 0.500
H1 0.000 0.000 0.500
W1 0.500 0.500 0.000



This record from the Alexandria database describes an optimized crystal structure of V2CoHW. The functional is PBE-GGA.

Space-group type: P4/mmm
Energy above the lowest structure with this stoichiometry (meV/atom): 146
Theoretical density (g cm⁻³): 10.29

Cell: 3.712 3.712 4.049 Å, 90.00 90.00 90.00°
Fractional positions:
V1 0.000 0.500 0.000
V2 0.500 0.000 0.000
Co1 0.000 0.000 0.500
H1 0.500 0.500 0.000
W1 0.500 0.500 0.500



This record from the Alexandria database describes an optimized crystal structure of VCo2HW. The functional is PBE-GGA.

Space-group type: P4/mmm
Energy above the lowest structure with this stoichiometry (meV/atom): 57
Theoretical density (g cm⁻³): 11.32

Cell: 3.648 3.648 3.899 Å, 90.00 90.00 90.00°
Fractional positions:
V1 0.000 0.000 0.000
Co1 0.000 0.500 0.500
Co2 0.500 0.000 0.500
H1 0.500 0.500 0.500
W1 0.500 0.500 0.000



This record from the Alexandria database describes an optimized crystal structure of VZnCo2H. The functional is PBE-GGA.

Space-group type: P4/mmm
VASP energy (eV/cell): -27.99
Theoretical density (g cm⁻³): 7.89

Cell: 3.691 3.691 3.632 Å, 90.00 90.00 90.00°
Fractional positions:
V1 0.000 0.000 0.000
Zn1 0.500 0.500 0.000
Co1 0.000 0.500 0.500
Co2 0.500 0.000 0.500
H1 0.000 0.000 0.500



This record from the Alexandria database describes an optimized crystal structure of CoHW3. The functional is PBE-GGA.

Space-group type: Pm-3m
Energy above the lowest structure with this stoichiometry (meV/atom): 0
Theoretical density (g cm⁻³): 16.47

Cell: 3.950 3.950 3.950 Å, 90.00 90.00 90.00°
Fractional positions:
Co1 0.000 0.000 0.000
H1 0.500 0.500 0.500
W1 0.000 0.500 0.500
W2 0.500 0.000 0.500
W3 0.500 0.500 0.000



This record from the Alexandria database describes an optimized crystal structure of CoHW2. The functional is PBE-GGA.

Space-group type: I-42d
Energy above the lowest structure with this stoichiometry (meV/atom): 0
Theoretical density (g cm⁻³): 15.25

Cell: 4.947 4.947 4.947 Å, 108.67 108.67 111.08°
Fractional positions:
Co1 0.000 0.000 0.000
Co2 0.750 0.250 0.500
H1 0.250 0.750 0.500
H2 0.500 0.500 0.000
W1 0.194 0.625 0.069
W2 0.375 0.444 0.569
W3 0.556 0.125 0.931
W4 0.875 0.806 0.431



This record from the Alexandria database describes an optimized crystal structure of CoH3W. The functional is PBE-GGA.

Space-group type: Pm-3m
Energy above the lowest structure with this stoichiometry (meV/atom): 408
Theoretical density (g cm⁻³): 10.29

Cell: 3.411 3.411 3.411 Å, 90.00 90.00 90.00°
Fractional positions:
Co1 0.000 0.000 0.000
H1 0.000 0.500 0.500
H2 0.500 0.000 0.500
H3 0.500 0.500 0.000
W1 0.500 0.500 0.500



This record from the Alexandria database describes an optimized crystal structure of CoHW3. The functional is PBE-GGA.

Space-group type: Pm-3m
Energy above the lowest structure with this stoichiometry (meV/atom): 1957
Theoretical density (g cm⁻³): 11.46

Cell: 4.458 4.458 4.458 Å, 90.00 90.00 90.00°
Fractional positions:
Co1 0.000 0.000 0.000
H1 0.500 0.500 0.500
W1 0.000 0.000 0.500
W2 0.000 0.500 0.000
W3 0.500 0.000 0.000



This record from the Alexandria database describes an optimized crystal structure of CoH2W2. The functional is PBE-GGA.

Space-group type: I4/mmm
Energy above the lowest structure with this stoichiometry (meV/atom): 0
Theoretical density (g cm⁻³): 14.74

Cell: 6.195 6.195 6.195 Å, 153.19 153.19 38.28°
Fractional positions:
Co1 0.000 0.000 0.000
H1 0.250 0.750 0.500
H2 0.750 0.250 0.500
W1 0.359 0.359 0.000
W2 0.641 0.641 0.000



This record from the Alexandria database describes an optimized crystal structure of Co3HW. The functional is PBE-GGA.

Space-group type: Pm-3m
Energy above the lowest structure with this stoichiometry (meV/atom): 2159
Theoretical density (g cm⁻³): 6.69

Cell: 4.477 4.477 4.477 Å, 90.00 90.00 90.00°
Fractional positions:
Co1 0.000 0.000 0.500
Co2 0.000 0.500 0.000
Co3 0.500 0.000 0.000
H1 0.500 0.500 0.500
W1 0.000 0.000 0.000



This record from the Alexandria database describes an optimized crystal structure of CoHW2. The functional is PBE-GGA.

Space-group type: R-3m
Energy above the lowest structure with this stoichiometry (meV/atom): 337
Theoretical density (g cm⁻³): 14.42

Cell: 7.566 7.566 7.566 Å, 21.12 21.12 21.12°
Fractional positions:
Co1 0.000 0.000 0.000
H1 0.500 0.500 0.500
W1 0.109 0.109 0.109
W2 0.891 0.891 0.891



This record from the Alexandria database describes an optimized crystal structure of CoHW2. The functional is PBE-GGA.

Space-group type: Fm-3m
Energy above the lowest structure with this stoichiometry (meV/atom): 276
Theoretical density (g cm⁻³): 14.73

Cell: 4.085 4.085 4.085 Å, 60.00 60.00 60.00°
Fractional positions:
Co1 0.000 0.000 0.000
H1 0.500 0.500 0.500
W1 0.250 0.250 0.250
W2 0.750 0.750 0.750



This record from the Alexandria database describes an optimized crystal structure of Co3HW. The functional is PBE-GGA.

Space-group type: Pm-3m
Energy above the lowest structure with this stoichiometry (meV/atom): 0
Theoretical density (g cm⁻³): 12.47

Cell: 3.639 3.639 3.639 Å, 90.00 90.00 90.00°
Fractional positions:
Co1 0.000 0.000 0.500
Co2 0.000 0.500 0.000
Co3 0.500 0.000 0.000
H1 0.000 0.000 0.000
W1 0.500 0.500 0.500



This record from the Alexandria database describes an optimized crystal structure of Co5H12W3. The functional is PBE-GGA.

Space-group type: Ia-3d
VASP energy (eV/cell): -438.66
Theoretical density (g cm⁻³): 10.33

Cell: 8.949 8.949 8.949 Å, 109.47 109.47 109.47°
Fractional positions:
Co1 0.000 0.000 0.000
Co2 0.000 0.000 0.500
Co3 0.000 0.500 0.000
Co4 0.000 0.500 0.500
Co5 0.125 0.750 0.875
Co6 0.125 0.875 0.250
Co7 0.250 0.125 0.875
Co8 0.250 0.625 0.375
Co9 0.375 0.250 0.625
Co10 0.375 0.625 0.750
Co11 0.500 0.000 0.000
Co12 0.500 0.000 0.500
Co13 0.500 0.500 0.000
Co14 0.500 0.500 0.500
Co15 0.625 0.375 0.250
Co16 0.625 0.750 0.375
Co17 0.750 0.375 0.625
Co18 0.750 0.875 0.125
Co19 0.875 0.125 0.750
Co20 0.875 0.250 0.125
H1 0.043 0.212 0.127
H2 0.043 0.331 0.916
H3 0.084 0.627 0.414
H4 0.084 0.957 0.669
H5 0.086 0.712 0.669
H6 0.086 0.873 0.416
H7 0.127 0.043 0.212
H8 0.127 0.584 0.914
H9 0.169 0.212 0.586
H10 0.169 0.457 0.584
H11 0.212 0.127 0.043
H12 0.212 0.586 0.169
H13 0.288 0.331 0.914
H14 0.288 0.457 0.373
H15 0.331 0.914 0.288
H16 0.331 0.916 0.043
H17 0.373 0.288 0.457
H18 0.373 0.586 0.916
H19 0.414 0.084 0.627
H20 0.414 0.831 0.788
H21 0.416 0.086 0.873
H22 0.416 0.831 0.543
H23 0.457 0.373 0.288
H24 0.457 0.584 0.169
H25 0.543 0.416 0.831
H26 0.543 0.627 0.712
H27 0.584 0.169 0.457
H28 0.584 0.914 0.127
H29 0.586 0.169 0.212
H30 0.586 0.916 0.373
H31 0.627 0.414 0.084
H32 0.627 0.712 0.543
H33 0.669 0.084 0.957
H34 0.669 0.086 0.712
H35 0.712 0.543 0.627
H36 0.712 0.669 0.086
H37 0.788 0.414 0.831
H38 0.788 0.873 0.957
H39 0.831 0.543 0.416
H40 0.831 0.788 0.414
H41 0.873 0.416 0.086
H42 0.873 0.957 0.788
H43 0.914 0.127 0.584
H44 0.914 0.288 0.331
H45 0.916 0.043 0.331
H46 0.916 0.373 0.586
H47 0.957 0.669 0.084
H48 0.957 0.788 0.873
W1 0.125 0.250 0.375
W2 0.125 0.375 0.750
W3 0.250 0.375 0.125
W4 0.250 0.875 0.625
W5 0.375 0.125 0.250
W6 0.375 0.750 0.125
W7 0.625 0.250 0.875
W8 0.625 0.875 0.750
W9 0.750 0.125 0.375
W10 0.750 0.625 0.875
W11 0.875 0.625 0.250
W12 0.875 0.750 0.625



This record from the Alexandria database describes an optimized crystal structure of CoH3W. The functional is PBE-GGA.

Space-group type: Pm-3m
Energy above the lowest structure with this stoichiometry (meV/atom): 0
Theoretical density (g cm⁻³): 12.33

Cell: 3.211 3.211 3.211 Å, 90.00 90.00 90.00°
Fractional positions:
Co1 0.000 0.000 0.000
H1 0.000 0.000 0.500
H2 0.000 0.500 0.000
H3 0.500 0.000 0.000
W1 0.500 0.500 0.500



This record from the Alexandria database describes an optimized crystal structure of CoH2W2. The functional is PBE-GGA.

Space-group type: P4/mbm
Energy above the lowest structure with this stoichiometry (meV/atom): 96
Theoretical density (g cm⁻³): 15.02

Cell: 5.885 5.885 2.737 Å, 90.00 90.00 90.00°
Fractional positions:
Co1 0.000 0.000 0.000
Co2 0.500 0.500 0.000
H1 0.151 0.349 0.000
H2 0.349 0.849 0.000
H3 0.651 0.151 0.000
H4 0.849 0.651 0.000
W1 0.159 0.659 0.500
W2 0.341 0.159 0.500
W3 0.659 0.841 0.500
W4 0.841 0.341 0.500



This record from the Alexandria database describes an optimized crystal structure of Zr2CoHW. The functional is PBE-GGA.

Space-group type: P4/mmm
VASP energy (eV/cell): -41.11
Theoretical density (g cm⁻³): 9.78

Cell: 4.632 4.632 3.374 Å, 90.00 90.00 90.00°
Fractional positions:
Zr1 0.000 0.500 0.000
Zr2 0.500 0.000 0.000
Co1 0.000 0.000 0.500
H1 0.000 0.000 0.000
W1 0.500 0.500 0.500



This record from the Alexandria database describes an optimized crystal structure of Y12Co3H5. The functional is PBE-GGA.

Space-group type: Ia-3d
VASP energy (eV/cell): -479.68
Theoretical density (g cm⁻³): 4.96

Cell: 12.950 12.950 12.950 Å, 109.47 109.47 109.47°
Fractional positions:
Y1 0.029 0.218 0.123
Y2 0.029 0.311 0.906
Y3 0.094 0.623 0.405
Y4 0.094 0.971 0.689
Y5 0.095 0.718 0.689
Y6 0.095 0.877 0.406
Y7 0.123 0.029 0.218
Y8 0.123 0.594 0.905
Y9 0.189 0.218 0.595
Y10 0.189 0.471 0.594
Y11 0.218 0.123 0.029
Y12 0.218 0.595 0.189
Y13 0.282 0.311 0.905
Y14 0.282 0.471 0.377
Y15 0.311 0.905 0.282
Y16 0.311 0.906 0.029
Y17 0.377 0.282 0.471
Y18 0.377 0.595 0.906
Y19 0.405 0.094 0.623
Y20 0.405 0.811 0.782
Y21 0.406 0.095 0.877
Y22 0.406 0.811 0.529
Y23 0.471 0.377 0.282
Y24 0.471 0.594 0.189
Y25 0.529 0.406 0.811
Y26 0.529 0.623 0.718
Y27 0.594 0.189 0.471
Y28 0.594 0.905 0.123
Y29 0.595 0.189 0.218
Y30 0.595 0.906 0.377
Y31 0.623 0.405 0.094
Y32 0.623 0.718 0.529
Y33 0.689 0.094 0.971
Y34 0.689 0.095 0.718
Y35 0.718 0.529 0.623
Y36 0.718 0.689 0.095
Y37 0.782 0.405 0.811
Y38 0.782 0.877 0.971
Y39 0.811 0.529 0.406
Y40 0.811 0.782 0.405
Y41 0.877 0.406 0.095
Y42 0.877 0.971 0.782
Y43 0.905 0.123 0.594
Y44 0.905 0.282 0.311
Y45 0.906 0.029 0.311
Y46 0.906 0.377 0.595
Y47 0.971 0.689 0.094
Y48 0.971 0.782 0.877
Co1 0.125 0.250 0.375
Co2 0.125 0.375 0.750
Co3 0.250 0.375 0.125
Co4 0.250 0.875 0.625
Co5 0.375 0.125 0.250
Co6 0.375 0.750 0.125
Co7 0.625 0.250 0.875
Co8 0.625 0.875 0.750
Co9 0.750 0.125 0.375
Co10 0.750 0.625 0.875
Co11 0.875 0.625 0.250
Co12 0.875 0.750 0.625
H1 0.000 0.000 0.000
H2 0.000 0.000 0.500
H3 0.000 0.500 0.000
H4 0.000 0.500 0.500
H5 0.125 0.750 0.875
H6 0.125 0.875 0.250
H7 0.250 0.125 0.875
H8 0.250 0.625 0.375
H9 0.375 0.250 0.625
H10 0.375 0.625 0.750
H11 0.500 0.000 0.000
H12 0.500 0.000 0.500
H13 0.500 0.500 0.000
H14 0.500 0.500 0.500
H15 0.625 0.375 0.250
H16 0.625 0.750 0.375
H17 0.750 0.375 0.625
H18 0.750 0.875 0.125
H19 0.875 0.125 0.750
H20 0.875 0.250 0.125